DFT (GGA-PBE) results for crystalline LuGePO at its relaxed geometry.

Cell: 3.6329 6.3028 6.6872 Å, 90.00 90.00 90.00°
Closest atoms and distances in Å follow each position.
Element x y z (fractional)
Ge (0.5000, 0.3741, 0.0620)  1 O 1.94
Ge (0.5000, 0.6259, 0.5620)  1 O 1.94
O (0.5000, 0.7721, 0.8171)  1 Ge 1.94, 2 Lu 2.11
O (0.5000, 0.2279, 0.3171)  1 Ge 1.94, 2 Lu 2.11
Lu (0.0000, 0.2280, 0.4783)  2 O 2.11
Lu (0.0000, 0.7720, 0.9783)  2 O 2.11
P (0.0000, 0.2028, 0.8966)  2 Ge 2.39
P (0.0000, 0.7972, 0.3966)  2 Ge 2.39

The total magnetization is 0.000 μB per atom. The value obtained for the total energy is -50.1 eV per cell. For the volume, the calculation gives 19.14 A^3/atom.

DFT (GGA-PBE) results for crystalline LuGePO at its relaxed geometry.

Cell: 3.8838 3.8838 9.1503 Å, 90.00 90.00 90.00°
Closest atoms and distances in Å follow each position.
Element x y z (fractional)
P (0.5000, 0.0000, 0.2946)  4 Ge 2.70
P (0.0000, 0.5000, 0.7054)  4 Ge 2.70
Lu (0.5000, 0.0000, 0.8866)  4 O 2.20
Lu (0.0000, 0.5000, 0.1134)  4 O 2.20
O (0.5000, 0.5000, 0.0000)  4 Lu 2.20
O (0.0000, 0.0000, 0.0000)  4 Lu 2.20
Ge (0.5000, 0.5000, 0.5000)  4 P 2.70, 4 Ge 2.75
Ge (0.0000, 0.0000, 0.5000)  4 P 2.70, 4 Ge 2.75

The total magnetization is 0.001 μB per atom. The value obtained for the total energy is -50.5 eV per cell. For the volume, the calculation gives 17.25 A^3/atom.

DFT (GGA-PBE) results for crystalline LuGeOs2 at its relaxed geometry.

Cell: 4.5655 4.5655 4.5655 Å, 60.00 60.00 60.00°
Closest atoms and distances in Å follow each position.
Element x y z (fractional)
Lu (0.2500, 0.2500, 0.2500)  4 Ge 2.80, 4 Os 2.80
Os (0.7500, 0.7500, 0.7500)  4 Os 2.80, 4 Ge 2.80
Os (0.0000, 0.0000, 0.0000)  4 Os 2.80, 4 Lu 2.80
Ge (0.5000, 0.5000, 0.5000)  4 Os 2.80, 4 Lu 2.80

The total magnetization is 0.002 μB per atom. The value obtained for the total energy is -30.5 eV per cell. For the volume, the calculation gives 16.82 A^3/atom.

DFT (GGA-PBE) results for crystalline Lu3Ge13Os4 at its relaxed geometry.

Cell: 9.0101 9.0101 9.0101 Å, 90.00 90.00 90.00°
Closest atoms and distances in Å follow each position.
Element x y z (fractional)
Os (0.7500, 0.7500, 0.7500)  6 Ge 2.49
Os (0.7500, 0.2500, 0.2500)  6 Ge 2.49
Os (0.2500, 0.7500, 0.2500)  6 Ge 2.49
Os (0.7500, 0.7500, 0.2500)  6 Ge 2.49
Os (0.2500, 0.2500, 0.2500)  6 Ge 2.49
Os (0.2500, 0.2500, 0.7500)  6 Ge 2.49
Os (0.7500, 0.2500, 0.7500)  6 Ge 2.49
Os (0.2500, 0.7500, 0.7500)  6 Ge 2.49
Ge (0.0000, 0.8559, 0.3002)  2 Os 2.49, 1 Ge 2.60
Ge (0.5000, 0.1998, 0.6441)  2 Os 2.49, 1 Ge 2.60
Ge (0.3559, 0.5000, 0.8002)  2 Os 2.49, 1 Ge 2.60
Ge (0.5000, 0.8002, 0.6441)  2 Os 2.49, 1 Ge 2.60
Ge (0.3002, 0.0000, 0.8559)  2 Os 2.49, 1 Ge 2.60
Ge (0.0000, 0.1441, 0.6998)  2 Os 2.49, 1 Ge 2.60
Ge (0.6998, 0.0000, 0.8559)  2 Os 2.49, 1 Ge 2.60
Ge (0.0000, 0.1441, 0.3002)  2 Os 2.49, 1 Ge 2.60
Ge (0.3002, 0.0000, 0.1441)  2 Os 2.49, 1 Ge 2.60
Ge (0.5000, 0.1998, 0.3559)  2 Os 2.49, 1 Ge 2.60
Ge (0.8559, 0.3002, 0.0000)  2 Os 2.49, 1 Ge 2.60
Ge (0.3559, 0.5000, 0.1998)  2 Os 2.49, 1 Ge 2.60
Ge (0.8559, 0.6998, 0.0000)  2 Os 2.49, 1 Ge 2.60
Ge (0.0000, 0.8559, 0.6998)  2 Os 2.49, 1 Ge 2.60
Ge (0.5000, 0.8002, 0.3559)  2 Os 2.49, 1 Ge 2.60
Ge (0.1441, 0.3002, 0.0000)  2 Os 2.49, 1 Ge 2.60
Ge (0.6441, 0.5000, 0.1998)  2 Os 2.49, 1 Ge 2.60
Ge (0.1441, 0.6998, 0.0000)  2 Os 2.49, 1 Ge 2.60
Ge (0.5000, 0.5000, 0.5000)  12 Ge 3.00
Ge (0.6998, 0.0000, 0.1441)  2 Os 2.49, 1 Ge 2.60
Ge (0.1998, 0.3559, 0.5000)  2 Os 2.49, 1 Ge 2.60
Ge (0.0000, 0.0000, 0.0000)  12 Ge 3.00
Ge (0.8002, 0.6441, 0.5000)  2 Os 2.49, 1 Ge 2.60
Ge (0.1998, 0.6441, 0.5000)  2 Os 2.49, 1 Ge 2.60
Ge (0.6441, 0.5000, 0.8002)  2 Os 2.49, 1 Ge 2.60
Ge (0.8002, 0.3559, 0.5000)  2 Os 2.49, 1 Ge 2.60
Lu (0.5000, 0.7500, 0.0000)  12 Ge 3.16-3.24, 4 Os 3.19
Lu (0.5000, 0.2500, 0.0000)  12 Ge 3.16-3.24, 4 Os 3.19
Lu (0.2500, 0.0000, 0.5000)  12 Ge 3.16-3.24, 4 Os 3.19
Lu (0.0000, 0.5000, 0.2500)  12 Ge 3.16-3.24, 4 Os 3.19
Lu (0.7500, 0.0000, 0.5000)  12 Ge 3.16-3.24, 4 Os 3.19
Lu (0.0000, 0.5000, 0.7500)  12 Ge 3.16-3.24, 4 Os 3.19

The total magnetization is 0.000 μB per atom. The value obtained for the total energy is -249.5 eV per cell. For the volume, the calculation gives 18.29 A^3/atom.

DFT (GGA-PBE) results for crystalline Lu4Ge6Os7 at its relaxed geometry.

Cell: 7.1795 7.1795 7.1795 Å, 109.47 109.47 109.47°
Closest atoms and distances in Å follow each position.
Element x y z (fractional)
Os (0.2500, 0.7500, 0.5000)  4 Ge 2.61
Os (0.7500, 0.5000, 0.2500)  4 Ge 2.61
Os (0.7500, 0.2500, 0.5000)  4 Ge 2.61
Os (0.2500, 0.5000, 0.7500)  4 Ge 2.61
Os (0.5000, 0.2500, 0.7500)  4 Ge 2.61
Os (0.0000, 0.0000, 0.0000)  6 Ge 2.56
Os (0.5000, 0.7500, 0.2500)  4 Ge 2.61
Ge (0.3090, 0.0000, 0.3090)  5 Os 2.56-2.61
Ge (0.0000, 0.3090, 0.3090)  5 Os 2.56-2.61
Ge (0.6910, 0.0000, 0.6910)  5 Os 2.56-2.61
Ge (0.0000, 0.6910, 0.6910)  5 Os 2.56-2.61
Ge (0.3090, 0.3090, 0.0000)  5 Os 2.56-2.61
Ge (0.6910, 0.6910, 0.0000)  5 Os 2.56-2.61
Lu (0.0000, 0.5000, 0.0000)  6 Os 2.93, 6 Ge 2.97
Lu (0.5000, 0.5000, 0.5000)  6 Os 2.93, 6 Ge 2.97
Lu (0.0000, 0.0000, 0.5000)  6 Os 2.93, 6 Ge 2.97
Lu (0.5000, 0.0000, 0.0000)  6 Os 2.93, 6 Ge 2.97

The total magnetization is 0.000 μB per atom. The value obtained for the total energy is -131.9 eV per cell. For the volume, the calculation gives 16.76 A^3/atom.

DFT (GGA-PBE) results for crystalline LuGeOs at its relaxed geometry.

Cell: 4.4143 4.4143 4.4143 Å, 60.00 60.00 60.00°
Closest atoms and distances in Å follow each position.
Element x y z (fractional)
Os (0.0000, 0.0000, 0.0000)  4 Ge 2.70, 4 Lu 2.70
Lu (0.7500, 0.7500, 0.7500)  4 Os 2.70
Ge (0.2500, 0.2500, 0.2500)  4 Os 2.70

The total magnetization is 0.001 μB per atom. The value obtained for the total energy is -20.7 eV per cell. For the volume, the calculation gives 20.27 A^3/atom.